1.
The following is a PBE-GGA calculation of a relaxed KMnOs crystal, from Alexandria.

**Volume**: 22.577 A^3/atom
**Total energy**: -5.329 eV per atom

Cell lengths 6.471, 6.471, 6.471 Å; angles 90.00, 90.00, 90.00 degrees
Space group F-43m (No. 216)
Asymmetric unit:
K 0.000 0.000 0.000 x4
Mn 0.000 0.000 0.500 x4
Os 0.250 0.250 0.750 x4



2.
The following is a PBE-GGA calculation of a relaxed KMn2Os crystal, from Alexandria.

**Volume**: 21.234 A^3/atom
**Total energy**: -6.832 eV per atom

Cell lengths 8.179, 2.801, 7.441 Å; angles 90.00, 94.82, 90.00 degrees
Space group Cm (No. 8)
Asymmetric unit:
K 0.000 0.000 0.000 x2
Mn 0.001 0.500 0.456 x2
Mn 0.223 0.000 0.633 x2
Os 0.267 0.500 0.351 x2



Number 1: energy relative to the lowest polymorph listed for this composition 0.9914 eV/atom, E_form 1.84 eV/atom. Number 2: energy relative to the lowest polymorph listed for this composition 0.1577 eV/atom, E_form 0.83 eV/atom.